# 1
Material: Ca2ScMo
Method: DFT, PBE-GGA
State: optimized geometry

Cell lengths 11.3425, 11.3425, 11.3425 Å; angles 16.54, 16.54, 16.54 degrees
Sites, in units of the cell vectors:
Ca 0.2405 0.2405 0.2405
Ca 0.7595 0.7595 0.7595
Sc 0.0000 0.0000 0.0000
Mo 0.5000 0.5000 0.5000

Output
Uncorrected energy = -18.3 eV for the cell shown

***

# 2
Material: BaSrAgGe
Method: DFT, PBE-GGA
State: optimized geometry

Cell lengths 5.6343, 5.6343, 5.6343 Å; angles 60.00, 60.00, 60.00 degrees
Sites, in units of the cell vectors:
Ba 0.0000 0.0000 0.0000
Sr 0.5000 0.5000 0.5000
Ag 0.7500 0.7500 0.7500
Ge 0.2500 0.2500 0.2500

Output
Uncorrected energy = -12.5 eV for the cell shown

***

# 3
Material: CdInPd2
Method: DFT, PBE-GGA
State: optimized geometry

Cell lengths 4.6410, 4.6410, 4.6410 Å; angles 60.00, 60.00, 60.00 degrees
Sites, in units of the cell vectors:
Cd 0.0000 0.0000 0.0000
In 0.5000 0.5000 0.5000
Pd 0.2500 0.2500 0.2500
Pd 0.7500 0.7500 0.7500

Output
Uncorrected energy = -15.9 eV for the cell shown

***

# 4
Material: B2OsF
Method: DFT, PBE-GGA
State: optimized geometry

Cell lengths 5.7340, 5.7340, 5.7340 Å; angles 131.88, 131.88, 70.41 degrees
Sites, in units of the cell vectors:
B 0.1111 0.6250 0.9861
B 0.3750 0.3611 0.4861
B 0.6389 0.1250 0.0139
B 0.8750 0.8889 0.5139
Os 0.0000 0.0000 0.0000
Os 0.7500 0.2500 0.5000
F 0.2500 0.7500 0.5000
F 0.5000 0.5000 0.0000

Output
Formation energy without anion corrections = 420 meV/atom